Record 1
Density functional theory data (PBE) for an optimized crystal structure of Dy2Tm6Tl.

Its crystal system is monoclinic. Its density of states at the Fermi level is 27.7 states/eV per cell. The value obtained for the spin magnetization is 0.000 μB per atom.

Lattice parameters (Å, degrees): 16.6708 3.4805 11.5633 90.00 125.52 90.00
Closest atoms and distances in Å follow each position.
Space group C2/m (No. 12)
Unique sites:
1 Dy 0.1664 0.0000 0.3168 x4  7 Tm 3.34-3.68, 2 Dy 3.48, 2 Tl 3.51
2 Tm 0.0520 0.5000 0.7526 x4  9 Tm 3.39-3.52, 1 Tl 3.44, 2 Dy 3.68
3 Tm 0.1120 0.0000 0.5529 x4  8 Tm 3.18-3.48, 3 Dy 3.34-3.53
4 Tm 0.2262 0.5000 0.1082 x4  1 Tl 3.21, 8 Tm 3.22-3.52, 2 Dy 3.56
5 Tl 0.0000 0.5000 0.0000 x2  4 Tm 3.21-3.44, 2 Tl 3.48, 4 Dy 3.51



Record 2
Density functional theory data (PBE) for an optimized crystal structure of Dy12Tm3Tl.

Its crystal system is tetragonal. Its density of states at the Fermi level is 19.8 states/eV per cell. The value obtained for the spin magnetization is 0.000 μB per atom.

Lattice parameters (Å, degrees): 4.9357 4.9357 20.0471 90.00 90.00 90.00
Closest atoms and distances in Å follow each position.
Space group P4/mmm (No. 123)
Unique sites:
1 Dy 0.0000 0.0000 0.0000 x1  8 Dy 3.48, 4 Tl 3.49
2 Dy 0.0000 0.0000 0.2459 x2  4 Tm 3.49, 8 Dy 3.49-3.56
3 Dy 0.0000 0.0000 0.5000 x1  4 Tm 3.49, 8 Dy 3.53
4 Dy 0.0000 0.5000 0.1227 x4  2 Tl 3.48, 8 Dy 3.48-3.49, 2 Tm 3.54
5 Dy 0.0000 0.5000 0.3739 x4  8 Dy 3.49-3.56, 4 Tm 3.51-3.53
6 Tm 0.5000 0.5000 0.2490 x2  12 Dy 3.49-3.54
7 Tm 0.5000 0.5000 0.5000 x1  12 Dy 3.49-3.53
8 Tl 0.5000 0.5000 0.0000 x1  12 Dy 3.48-3.49



Record 3
Density functional theory data (PBE) for an optimized crystal structure of Dy2Tm3Tl7.

Its crystal system is orthorhombic. Its density of states at the Fermi level is 19.3 states/eV per cell. The value obtained for the spin magnetization is 0.001 μB per atom.

Lattice parameters (Å, degrees): 5.2559 25.7043 5.3364 90.00 90.00 90.00
Closest atoms and distances in Å follow each position.
Space group Cmmm (No. 65)
Unique sites:
1 Dy 0.0000 0.1529 0.0000 x4  7 Tl 3.14-3.30
2 Tm 0.0000 0.3501 0.5000 x4  6 Tl 3.17-3.29
3 Tm 0.0000 0.5000 0.5000 x2  8 Tl 3.29-3.35
4 Tl 0.0000 0.0000 0.0000 x2  8 Tl 3.26-3.38
5 Tl 0.0000 0.0810 0.5000 x4  4 Tm 3.17-3.35, 2 Dy 3.25, 2 Tl 3.38
6 Tl 0.0000 0.2802 0.0000 x4  2 Tl 3.05, 3 Dy 3.14-3.27, 2 Tm 3.22
7 Tl 0.0000 0.4250 0.0000 x4  2 Tl 3.26, 4 Tm 3.29, 2 Dy 3.30



Record 4
Density functional theory data (PBE) for an optimized crystal structure of DyTm2Tl.

Its crystal system is cubic. Its density of states at the Fermi level is 23.3 states/eV per cell. The value obtained for the spin magnetization is 0.335 μB per atom.

Lattice parameters (Å, degrees): 7.6588 7.6588 7.6588 90.00 90.00 90.00
Closest atoms and distances in Å follow each position.
Space group Fm-3m (No. 225)
Unique sites:
1 Dy 0.0000 0.0000 0.0000 x4  8 Tm 3.32
2 Tm 0.2500 0.2500 0.2500 x8  4 Tl 3.32, 4 Dy 3.32
3 Tl 0.0000 0.0000 0.5000 x4  8 Tm 3.32



Record 5
Density functional theory data (PBE) for an optimized crystal structure of Dy7TmTl2.

Its crystal system is orthorhombic. Its density of states at the Fermi level is 36.2 states/eV per cell. The value obtained for the spin magnetization is 0.000 μB per atom.

Lattice parameters (Å, degrees): 9.1648 15.6569 5.2538 90.00 90.00 90.00
Closest atoms and distances in Å follow each position.
Space group Cmmm (No. 65)
Unique sites:
1 Dy 0.0000 0.0000 0.0000 x2  2 Tl 3.02
2 Dy 0.0000 0.2767 0.5000 x4  2 Tl 2.93
3 Dy 0.1817 0.3811 0.0000 x8  2 Tl 3.14-3.38, 4 Dy 3.33-3.51
4 Tm 0.0000 0.5000 0.5000 x2  10 Dy 3.50-3.62
5 Tl 0.0000 0.1932 0.0000 x4  5 Dy 2.93-3.14



Record 6
Density functional theory data (PBE) for an optimized crystal structure of DyTm2Tl.

Its crystal system is trigonal. Its density of states at the Fermi level is 11.4 states/eV per cell. The value obtained for the spin magnetization is 0.000 μB per atom.

Lattice parameters (Å, degrees): 3.5209 3.5209 32.8101 90.00 90.00 120.00
Closest atoms and distances in Å follow each position.
Space group R-3m (No. 166, hexagonal axes)
Unique sites:
1 Dy 0.0000 0.0000 0.0000 x3  6 Tm 3.50, 6 Dy 3.52
2 Tm 0.0000 0.0000 0.2466 x6  3 Tl 3.32, 3 Dy 3.50, 6 Tm 3.52
3 Tl 0.0000 0.0000 0.5000 x3  6 Tm 3.32, 6 Tl 3.52



Record 7
Density functional theory data (PBE) for an optimized crystal structure of Dy2Tm2Tl3.

Its crystal system is orthorhombic. Its density of states at the Fermi level is 14.2 states/eV per cell. The value obtained for the spin magnetization is 0.022 μB per atom.

Lattice parameters (Å, degrees): 3.4868 31.8128 3.5481 90.00 90.00 90.00
Closest atoms and distances in Å follow each position.
Space group Cmmm (No. 65)
Unique sites:
1 Dy 0.0000 0.0686 0.0000 x4  8 Tl 3.31, 4 Dy 3.49-3.55
2 Tm 0.0000 0.2025 0.0000 x4  4 Tl 3.24, 6 Tm 3.49-3.55
3 Tl 0.0000 0.3629 0.5000 x4  4 Tm 3.24, 4 Dy 3.31, 4 Tl 3.49-3.55
4 Tl 0.0000 0.5000 0.5000 x2  8 Dy 3.31, 4 Tl 3.49-3.55



Record 8
Density functional theory data (PBE) for an optimized crystal structure of DyTm2Tl.

Its crystal system is tetragonal. Its density of states at the Fermi level is 5.3 states/eV per cell. The value obtained for the spin magnetization is 0.158 μB per atom.

Lattice parameters (Å, degrees): 4.8150 4.8150 4.7997 90.00 90.00 90.00
Closest atoms and distances in Å follow each position.
Space group P4/mmm (No. 123)
Unique sites:
1 Dy 0.0000 0.0000 0.0000 x1  8 Tm 3.40, 4 Tl 3.40
2 Tm 0.0000 0.5000 0.5000 x2  4 Tl 3.40, 4 Dy 3.40, 4 Tm 3.40
3 Tl 0.5000 0.5000 0.0000 x1  8 Tm 3.40, 4 Dy 3.40



Record 9
Density functional theory data (PBE) for an optimized crystal structure of Dy4TmTl.

Its crystal system is monoclinic. Its density of states at the Fermi level is 28.5 states/eV per cell. The value obtained for the spin magnetization is 0.000 μB per atom.

Lattice parameters (Å, degrees): 8.6427 14.0249 6.4282 90.00 108.66 90.00
Closest atoms and distances in Å follow each position.
Space group C2/c (No. 15)
Unique sites:
1 Dy 0.0960 0.1906 0.0401 x8  2 Tl 3.21-3.22, 5 Dy 3.27-3.59, 1 Tm 3.56
2 Dy 0.2131 0.3748 0.3813 x8  3 Dy 3.27-3.53, 2 Tl 3.33-3.36, 2 Tm 3.47-3.49
3 Tm 0.0000 0.4102 0.7500 x4  8 Dy 3.47-3.60
4 Tl 0.0000 0.0001 0.2500 x4  8 Dy 3.21-3.36, 2 Tl 3.21



Record 10
Density functional theory data (PBE) for an optimized crystal structure of Dy4Tm3Tl.

Its crystal system is orthorhombic. Its density of states at the Fermi level is 21.3 states/eV per cell. The value obtained for the spin magnetization is 0.000 μB per atom.

Lattice parameters (Å, degrees): 11.1094 6.9796 6.1362 90.00 90.00 90.00
Closest atoms and distances in Å follow each position.
Space group Pmn2_1 (No. 31)
Unique sites:
1 Dy 0.0000 0.1296 0.0000 x2  4 Tm 3.35-3.63, 6 Dy 3.36-3.76, 2 Tl 3.40-3.59
2 Dy 0.0000 0.8692 0.4642 x2  6 Dy 3.38-3.76, 2 Tl 3.45-3.64, 4 Tm 3.48-3.50
3 Dy 0.2373 0.8726 0.8246 x4  1 Tl 3.33, 6 Dy 3.36-3.56, 5 Tm 3.42-3.67
4 Tm 0.0000 0.3685 0.4743 x2  6 Dy 3.35-3.63, 4 Tm 3.39-3.48, 2 Tl 3.48-3.56
5 Tm 0.2448 0.3832 0.8035 x4  2 Tl 3.35-3.45, 4 Tm 3.39-3.48, 6 Dy 3.42-3.67
6 Tl 0.0000 0.6161 0.9820 x2  6 Dy 3.33-3.64, 6 Tm 3.35-3.56



Record 11
Density functional theory data (PBE) for an optimized crystal structure of Dy2Tm2Tl3.

Its crystal system is triclinic. Its density of states at the Fermi level is 8.6 states/eV per cell. The value obtained for the spin magnetization is 0.000 μB per atom.

Lattice parameters (Å, degrees): 3.7254 6.9741 8.7690 68.88 89.95 74.52
Closest atoms and distances in Å follow each position.
Space group P-1 (No. 2)
Unique sites:
1 Dy 0.1127 0.2755 0.4446 x2  3 Tl 3.12-3.24
2 Tm 0.3793 0.7435 0.1839 x2  5 Tl 3.16-3.28
3 Tl 0.0000 0.5000 0.0000 x1  4 Tl 3.21-3.22, 4 Tm 3.27-3.28
4 Tl 0.3022 0.8941 0.7837 x2  3 Dy 3.12-3.24, 3 Tm 3.16-3.27, 2 Tl 3.21-3.22



Here are the calculated energy relative to the elements numbers, same order: 0.00; -0.03; -0.06; 0.01; 0.37; -0.11; -0.20; -0.17; -0.01; -0.06; -0.17 (eV/atom).